First-principles (PBE) data for a relaxed HgP2Pb crystal, as listed in Alexandria.

Cell lengths 5.8352, 7.9079, 4.9048 Å; angles 90.00, 126.35, 90.00 degrees
Space group C2/m (No. 12)
Symmetry-distinct sites (fractional):
Hg: 0.0000 0.0000 0.0000 (multiplicity 2)
P: 0.2500 0.2500 0.5000 (multiplicity 4)
Pb: 0.0000 0.5000 0.0000 (multiplicity 2)

As for the energy of formation from the pure elements: 10.27 kcal/mol of atoms.

=====

First-principles (PBE) data for a relaxed SrTh2Se4 crystal, as listed in Alexandria.

Cell lengths 4.1973, 13.7863, 14.4868 Å; angles 90.00, 90.00, 90.00 degrees
Space group Cmcm (No. 63)
Symmetry-distinct sites (fractional):
Sr: 0.0000 0.1128 0.2500 (multiplicity 4)
Th: 0.0000 0.3680 0.0634 (multiplicity 8)
Se: 0.0000 0.0000 0.0000 (multiplicity 4)
Se: 0.0000 0.2729 0.6228 (multiplicity 8)
Se: 0.0000 0.4490 0.2500 (multiplicity 4)

The value obtained for the formation energy (no corrections) is -1.72 eV/atom.

=====

First-principles (PBE) data for a relaxed Er2CoPb crystal, as listed in Alexandria.

Cell lengths 7.1973, 7.1973, 7.1973 Å; angles 90.00, 90.00, 90.00 degrees
Space group Fm-3m (No. 225)
Symmetry-distinct sites (fractional):
Er: 0.2500 0.2500 0.2500 (multiplicity 8)
Co: 0.0000 0.0000 0.0000 (multiplicity 4)
Pb: 0.0000 0.0000 0.5000 (multiplicity 4)

As for the energy of formation from the pure elements: -3.84 kcal/mol of atoms.

=====

First-principles (PBE) data for a relaxed PH3Br2 crystal, as listed in Alexandria.

Cell lengths 11.0309, 7.1798, 5.3502 Å; angles 90.00, 98.75, 90.00 degrees
Space group C2/c (No. 15)
Symmetry-distinct sites (fractional):
P: 0.0000 0.0007 0.2500 (multiplicity 4)
H: 0.0000 0.1980 0.7500 (multiplicity 4)
H: 0.0921 0.9998 0.0289 (multiplicity 8)
Br: 0.1750 0.4804 0.1397 (multiplicity 8)

The energy comes out at -2.98 eV per atom.

=====

First-principles (PBE) data for a relaxed AcHo2ErTl4 crystal, as listed in Alexandria.

Cell lengths 5.4674, 5.4674, 27.1435 Å; angles 90.00, 90.00, 120.00 degrees
Space group R-3m (No. 166, hexagonal axes)
Symmetry-distinct sites (fractional):
Ac: 0.0000 0.0000 0.0000 (multiplicity 3)
Ho: 0.0000 0.0000 0.2480 (multiplicity 6)
Er: 0.0000 0.0000 0.5000 (multiplicity 3)
Tl: 0.0000 0.0000 0.1288 (multiplicity 6)
Tl: 0.0000 0.0000 0.3807 (multiplicity 6)

As for the energy of formation from the pure elements: -6.91 kcal/mol of atoms.

=====

First-principles (PBE) data for a relaxed LaZnS2Cl crystal, as listed in Alexandria.

Cell lengths 5.5869, 5.5869, 5.4895 Å; angles 90.00, 90.00, 90.00 degrees
Space group P4/mmm (No. 123)
Symmetry-distinct sites (fractional):
La: 0.0000 0.0000 0.0000 (multiplicity 1)
Zn: 0.5000 0.5000 0.5000 (multiplicity 1)
S: 0.0000 0.5000 0.0000 (multiplicity 2)
Cl: 0.0000 0.0000 0.5000 (multiplicity 1)

The value obtained for the formation energy (no corrections) is -0.64 eV/atom.

=====

no.,D(E_F) (states/eV/atom)
1,0.19
2,0.66
3,0.67
4,0.47
5,0.76
6,1.16